{"formula": "Rb2Pr2MgW4O16", "functional": "PBE with a Hubbard U", "state": "relaxed", "e_above_lowest_polymorph_mev_per_atom": 27.8, "dos_ef_per_ev_cell": 0.00, "spacegroup": "C2 (5)", "lattice": [[-7.123, 3.511, -0.300], [-1.324, -2.049, 7.563], [-1.296, 5.684, 4.975]], "species": ["Rb", "Rb", "Pr", "Pr", "Mg", "W", "W", "W", "W", "O", "O", "O", "O", "O", "O", "O", "O", "O", "O", "O", "O", "O", "O", "O", "O"], "frac_coords": [[0.122, 0.878, 0.000], [0.803, 0.197, 0.500], [0.781, 0.219, 0.000], [0.240, 0.760, 0.500], [0.381, 0.619, 0.000], [0.721, 0.679, 0.043], [0.309, 0.298, 0.457], [0.321, 0.279, 0.957], [0.702, 0.691, 0.543], [0.653, 0.755, 0.791], [0.384, 0.258, 0.675], [0.245, 0.347, 0.209], [0.742, 0.616, 0.325], [0.382, 0.049, 0.113], [0.651, 0.923, 0.383], [0.951, 0.618, 0.887], [0.077, 0.349, 0.617], [0.591, 0.369, 0.218], [0.406, 0.621, 0.252], [0.631, 0.409, 0.782], [0.379, 0.594, 0.748], [0.778, 0.943, 0.953], [0.246, 0.038, 0.552], [0.057, 0.222, 0.047], [0.962, 0.754, 0.448]]}